# 1
A relaxed structure of MgScSeBr2, computed with PBE.

Values from the calculation:
The value obtained for the density of states at the Fermi level is 1.87 states/eV/cell. The total energy is -19.52 eV/cell. As for the distance to the lowest polymorph of the same formula: 0.000 eV per atom. As for the spin magnetization: 0.5 μB/f.u. The formation energy without anion corrections is -0.95 eV/atom.

POSCAR file:
```
MgScSeBr2
1.0
-3.852 0.344 3.633
-2.139 -4.493 -1.842
2.913 -2.760 3.350
Sc Mg Se Br
1 1 1 2
direct
0.000 0.000 0.000
0.500 0.500 0.500
0.000 0.000 0.500
0.000 0.500 0.000
0.500 0.000 0.000
```

# 2
A relaxed structure of MgScTa2Br, computed with PBE.

Values from the calculation:
The value obtained for the density of states at the Fermi level is 3.94 states/eV/cell. The total energy is -25.16 eV/cell. As for the spin magnetization: 0.0 μB/f.u. The formation energy without anion corrections is 1.63 eV/atom.

POSCAR file:
```
MgScTa2Br
1.0
4.997 0.000 0.000
0.000 4.861 0.000
0.000 0.000 4.997
Sc Mg Br Ta
1 1 1 2
direct
0.500 0.500 0.500
0.000 0.000 0.000
0.000 0.500 0.000
0.000 0.000 0.500
0.500 0.000 0.000
```

# 3
A relaxed structure of MgSc2VBr, computed with PBE.

Values from the calculation:
The value obtained for the density of states at the Fermi level is 6.34 states/eV/cell. The total energy is -20.65 eV/cell. As for the spin magnetization: 3.6 μB/f.u. The formation energy without anion corrections is 0.88 eV/atom.

POSCAR file:
```
MgSc2VBr
1.0
5.365 0.000 0.000
0.000 4.932 0.000
0.000 0.000 5.365
Sc Mg Br V
2 1 1 1
direct
0.000 0.000 0.500
0.500 0.000 0.000
0.000 0.000 0.000
0.500 0.500 0.500
0.000 0.500 0.000
```

# 4
A relaxed structure of Mg2ScZnBr, computed with PBE.

Values from the calculation:
The value obtained for the density of states at the Fermi level is 3.99 states/eV/cell. The total energy is -10.94 eV/cell. As for the spin magnetization: 0.0 μB/f.u. The formation energy without anion corrections is 0.30 eV/atom.

POSCAR file:
```
Mg2ScZnBr
1.0
6.022 0.000 0.000
0.000 5.158 0.000
0.000 0.000 6.022
Sc Zn Mg Br
1 1 2 1
direct
0.000 0.000 0.000
0.500 0.500 0.500
0.000 0.000 0.500
0.500 0.000 0.000
0.000 0.500 0.000
```

# 5
A relaxed structure of MgSe4Br, computed with PBE.

Values from the calculation:
The value obtained for the density of states at the Fermi level is 8.71 states/eV/cell. The total energy is -15.99 eV/cell. As for the spin magnetization: 0.0 μB/f.u. The formation energy without anion corrections is 0.20 eV/atom.

POSCAR file:
```
MgSe4Br
1.0
-0.116 1.812 5.490
-4.319 3.376 1.840
-3.957 -2.102 3.655
Mg Se Br
1 4 1
direct
0.000 0.000 0.000
0.874 0.375 0.375
0.375 0.375 0.874
0.375 0.874 0.375
0.375 0.375 0.375
0.750 0.750 0.750
```

# 6
A relaxed structure of MgSeBr2, computed with PBE.

Values from the calculation:
The value obtained for the density of states at the Fermi level is 1.37 states/eV/cell. The total energy is -8.53 eV/cell. As for the distance to the lowest polymorph of the same formula: 0.722 eV per atom. As for the spin magnetization: 2.0 μB/f.u. The formation energy without anion corrections is -0.03 eV/atom.

POSCAR file:
```
MgSeBr2
1.0
2.470 0.000 10.808
-1.235 2.139 10.808
-1.235 -2.139 10.808
Mg Se Br
1 1 2
direct
0.000 0.000 0.000
0.500 0.500 0.500
0.928 0.928 0.928
0.072 0.072 0.072
```

# 7
A relaxed structure of MgSeBr2, computed with PBE.

Values from the calculation:
The value obtained for the density of states at the Fermi level is 1.09 states/eV/cell. The total energy is -11.29 eV/cell. As for the distance to the lowest polymorph of the same formula: 0.033 eV per atom. As for the spin magnetization: 0.0 μB/f.u. The formation energy without anion corrections is -0.72 eV/atom.

POSCAR file:
```
MgSeBr2
1.0
7.994 0.160 0.013
5.324 5.966 -0.013
-6.230 -3.995 3.026
Br Mg Se
2 1 1
direct
0.934 0.934 0.000
0.647 0.147 0.500
0.526 0.526 0.000
0.393 0.893 0.500
```

# 8
A relaxed structure of Mg2SeBr, computed with PBE.

Values from the calculation:
The value obtained for the density of states at the Fermi level is 0.94 states/eV/cell. The total energy is -11.59 eV/cell. As for the distance to the lowest polymorph of the same formula: 0.067 eV per atom. As for the spin magnetization: 0.7 μB/f.u. The formation energy without anion corrections is -0.81 eV/atom.

POSCAR file:
```
Mg2SeBr
1.0
4.043 0.000 0.000
0.000 5.639 -0.004
0.000 2.996 4.787
Br Mg Se
1 2 1
direct
0.500 0.782 0.783
0.000 0.976 0.975
0.500 0.289 0.291
0.000 0.453 0.452
```

# 9
A relaxed structure of MgSeBr2, computed with PBE.

Values from the calculation:
The value obtained for the density of states at the Fermi level is 4.35 states/eV/cell. The total energy is -8.58 eV/cell. As for the distance to the lowest polymorph of the same formula: 0.710 eV per atom. As for the spin magnetization: 0.0 μB/f.u. The formation energy without anion corrections is -0.04 eV/atom.

POSCAR file:
```
MgSeBr2
1.0
4.821 0.000 0.000
0.000 4.821 0.000
0.000 0.000 4.180
Br Mg Se
2 1 1
direct
0.000 0.000 0.000
0.500 0.500 0.000
0.500 0.000 0.500
0.000 0.500 0.500
```

# 10
A relaxed structure of Mg2SeBr, computed with PBE.

Values from the calculation:
The value obtained for the density of states at the Fermi level is 1.74 states/eV/cell. The total energy is -11.65 eV/cell. As for the distance to the lowest polymorph of the same formula: 0.051 eV per atom. As for the spin magnetization: 0.0 μB/f.u. The formation energy without anion corrections is -0.83 eV/atom.

POSCAR file:
```
Mg2SeBr
1.0
-1.665 -3.733 0.119
0.207 -0.222 -4.076
5.223 -2.317 0.391
Br Mg Se
1 2 1
direct
0.500 0.500 0.875
0.000 0.000 0.875
0.500 0.500 0.375
0.000 0.000 0.375
```

# 11
A relaxed structure of Mg2SeBr, computed with PBE.

Values from the calculation:
The value obtained for the density of states at the Fermi level is 1.13 states/eV/cell. The total energy is -11.16 eV/cell. As for the distance to the lowest polymorph of the same formula: 0.172 eV per atom. As for the spin magnetization: 0.0 μB/f.u. The formation energy without anion corrections is -0.70 eV/atom.

POSCAR file:
```
Mg2SeBr
1.0
3.963 -0.057 0.000
-1.968 3.441 0.000
0.000 0.000 7.683
Br Mg Se
1 2 1
direct
0.500 0.500 0.750
0.000 0.000 0.025
0.000 0.000 0.475
0.500 0.500 0.250
```

# 12
A relaxed structure of Mg2SeBr, computed with PBE.

Values from the calculation:
The value obtained for the density of states at the Fermi level is 0.99 states/eV/cell. The total energy is -11.42 eV/cell. As for the distance to the lowest polymorph of the same formula: 0.108 eV per atom. As for the spin magnetization: 0.0 μB/f.u. The formation energy without anion corrections is -0.77 eV/atom.

POSCAR file:
```
Mg2SeBr
1.0
-1.376 2.936 -1.704
-2.443 0.426 2.707
4.692 4.184 3.420
Br Mg Se
1 2 1
direct
0.500 0.750 0.750
0.000 0.775 0.050
0.000 0.725 0.450
0.500 0.250 0.250
```